A crystal of Sb2C relaxed with PBEsol. Source: Alexandria via LeMat-Bulk, functional SCAN.

Output
total magnetic moment: 0.000 μB/atom
Fermi-level density of states: 1.42 states/eV/f.u.
energy: -79.9 eV per cell
polymorph energy (0 for the lowest one): 1.25 eV/f.u.
energy relative to the elements, uncorrected: 1590 meV per atom

Unit cell a=3.254 b=4.249 c=4.249 alpha=90.00 beta=90.00 gamma=90.00
Sites, in units of the cell vectors:
Sb 0.000 0.000 0.500
Sb 0.000 0.500 0.000
C 0.500 0.000 0.000